The following is a GGA-PBE calculation of an optimized crystal structure of Pm3SnSe, from the Alexandria database.

It has space group P2_1/c (No. 14), with a = 9.408 Å, b = 6.835 Å, c = 10.651 Å, α = 90.00°, β = 113.73° and γ = 90.00°. The distinct sites, in fractional coordinates, are Pm at (0.054, 0.084, 0.335), Pm at (0.204, 0.586, 0.531), Pm at (0.408, 0.198, 0.826), Sn at (0.354, 0.714, 0.842) and Se at (0.098, 0.234, 0.602).

The calculation puts the formation energy (no corrections) at -915 meV per atom. The value obtained for the volume is 626.9 Å³ per cell.

***

The following is a GGA-PBE calculation of an optimized crystal structure of Pm3SnSe2, from the Alexandria database.

It has space group C2/c (No. 15), with a = 7.467 Å, b = 12.939 Å, c = 7.465 Å, α = 90.00°, β = 109.53° and γ = 90.00°. The distinct sites, in fractional coordinates, are Pm at (0.241, 0.086, 0.497), Pm at (0.250, 0.250, 0.000), Sn at (0.000, 0.419, 0.750), Se at (0.000, 0.084, 0.750) and Se at (0.000, 0.253, 0.250).

The calculation puts the formation energy (no corrections) at -1499 meV per atom. The value obtained for the volume is 679.8 Å³ per cell. Its energy above the most stable polymorph in this dataset is 0.056 eV per formula unit.

***

The following is a GGA-PBE calculation of an optimized crystal structure of Pm5Sn2Se4, from the Alexandria database.

It has space group R-3m (No. 166, hexagonal axes), with a = 4.6080 Å, b = 4.6080 Å, c = 59.7795 Å, α = 90.00°, β = 90.00° and γ = 120.00°. The distinct sites, in fractional coordinates, are Pm at (0.0000, 0.0000, 0.0000), Pm at (0.0000, 0.0000, 0.1314), Pm at (0.0000, 0.0000, 0.2729), Sn at (0.0000, 0.0000, 0.3629), Se at (0.0000, 0.0000, 0.0850) and Se at (0.0000, 0.0000, 0.1874).

The calculation puts the formation energy (no corrections) at -1255 meV per atom. The value obtained for the volume is 1099.3 Å³ per cell.

***

The following is a GGA-PBE calculation of an optimized crystal structure of Pm5Sn2Se12, from the Alexandria database.

It has space group C2/m (No. 12), with a = 16.344 Å, b = 7.663 Å, c = 9.292 Å, α = 90.00°, β = 107.76° and γ = 90.00°. The distinct sites, in fractional coordinates, are Pm at (0.000, 0.000, 0.000), Pm at (0.189, 0.500, 0.331), Pm at (0.207, 0.500, 0.861), Sn at (0.000, 0.256, 0.500), Se at (0.004, 0.000, 0.307), Se at (0.004, 0.500, 0.716), Se at (0.147, 0.253, 0.065) and Se at (0.172, 0.265, 0.588).

The calculation puts the formation energy (no corrections) at -1277 meV per atom. The value obtained for the volume is 1108.4 Å³ per cell.

***

The following is a GGA-PBE calculation of an optimized crystal structure of PmSnSe, from the Alexandria database.

It has space group I4/mmm (No. 139), with a = 4.151 Å, b = 4.151 Å, c = 18.829 Å, α = 90.00°, β = 90.00° and γ = 90.00°. The distinct sites, in fractional coordinates, are Pm at (0.000, 0.000, 0.152), Sn at (0.000, 0.500, 0.000) and Se at (0.000, 0.000, 0.313).

The calculation puts the formation energy (no corrections) at -1239 meV per atom. The value obtained for the volume is 324.5 Å³ per cell. Its energy above the most stable polymorph in this dataset is 0.000 eV per formula unit.

***

The following is a GGA-PBE calculation of an optimized crystal structure of PmSnSe4, from the Alexandria database.

It has space group I4_1/a (No. 88, origin choice 2), with a = 6.633 Å, b = 6.633 Å, c = 15.387 Å, α = 90.00°, β = 90.00° and γ = 90.00°. The distinct sites, in fractional coordinates, are Pm at (0.000, 0.250, 0.125), Sn at (0.000, 0.250, 0.625) and Se at (0.186, 0.484, 0.280).

The calculation puts the formation energy (no corrections) at -819 meV per atom. The value obtained for the volume is 676.9 Å³ per cell.

***

The following is a GGA-PBE calculation of an optimized crystal structure of Pm6SnSe12, from the Alexandria database.

It has space group R-3 (No. 148, hexagonal axes), with a = 12.6148 Å, b = 12.6148 Å, c = 12.1612 Å, α = 90.00°, β = 90.00° and γ = 120.00°. The distinct sites, in fractional coordinates, are Pm at (0.0435, 0.7719, 0.1322), Sn at (0.0000, 0.0000, 0.5000), Se at (0.0322, 0.8172, 0.8959) and Se at (0.0789, 0.8607, 0.3814).

The calculation puts the formation energy (no corrections) at -1471 meV per atom. The value obtained for the volume is 1676.0 Å³ per cell.

***

The following is a GGA-PBE calculation of an optimized crystal structure of Pm6SnSe4, from the Alexandria database.

It has space group Cmcm (No. 63), with a = 4.270 Å, b = 13.682 Å, c = 21.223 Å, α = 90.00°, β = 90.00° and γ = 90.00°. The distinct sites, in fractional coordinates, are Pm at (0.000, 0.000, 0.000), Pm at (0.000, 0.167, 0.250), Pm at (0.000, 0.271, 0.588), Pm at (0.000, 0.453, 0.164), Sn at (0.000, 0.165, 0.750), Se at (0.000, 0.091, 0.124) and Se at (0.000, 0.362, 0.039).

The calculation puts the formation energy (no corrections) at -1492 meV per atom. The value obtained for the volume is 1239.9 Å³ per cell.

***

The following is a GGA-PBE calculation of an optimized crystal structure of Pm4SnTe2Se, from the Alexandria database.

It has space group P2/m (No. 10), with a = 7.596 Å, b = 4.410 Å, c = 7.737 Å, α = 90.00°, β = 109.38° and γ = 90.00°. The distinct sites, in fractional coordinates, are Pm at (0.239, 0.000, 0.229), Pm at (0.250, 0.500, 0.764), Sn at (0.500, 0.000, 0.000), Te at (0.000, 0.000, 0.500), Te at (0.500, 0.500, 0.500) and Se at (0.000, 0.500, 0.000).

The calculation puts the formation energy (no corrections) at -1386 meV per atom. The value obtained for the volume is 244.5 Å³ per cell.

***

The following is a GGA-PBE calculation of an optimized crystal structure of Pm6Sn2Te3Se, from the Alexandria database.

It has space group C2/m (No. 12), with a = 19.429 Å, b = 4.437 Å, c = 8.925 Å, α = 90.00°, β = 103.95° and γ = 90.00°. The distinct sites, in fractional coordinates, are Pm at (0.003, 0.000, 0.236), Pm at (0.161, 0.500, 0.087), Pm at (0.168, 0.500, 0.577), Sn at (0.166, 0.000, 0.331), Te at (0.000, 0.500, 0.500), Te at (0.167, 0.000, 0.834) and Se at (0.000, 0.500, 0.000).

The calculation puts the formation energy (no corrections) at -1298 meV per atom. The value obtained for the volume is 746.7 Å³ per cell.

***

The following is a GGA-PBE calculation of an optimized crystal structure of Pm6SnTe2Se3, from the Alexandria database.

It has space group C2/m (No. 12), with a = 18.971 Å, b = 4.320 Å, c = 8.728 Å, α = 90.00°, β = 103.45° and γ = 90.00°. The distinct sites, in fractional coordinates, are Pm at (0.004, 0.000, 0.247), Pm at (0.158, 0.500, 0.100), Pm at (0.167, 0.500, 0.567), Sn at (0.000, 0.500, 0.500), Te at (0.169, 0.000, 0.838), Se at (0.000, 0.500, 0.000) and Se at (0.168, 0.000, 0.334).

The calculation puts the formation energy (no corrections) at -1530 meV per atom. The value obtained for the volume is 695.6 Å³ per cell.

***

The following is a GGA-PBE calculation of an optimized crystal structure of Pm4SnTeSe2, from the Alexandria database.

It has space group P2/m (No. 10), with a = 7.517 Å, b = 4.343 Å, c = 7.559 Å, α = 90.00°, β = 109.43° and γ = 90.00°. The distinct sites, in fractional coordinates, are Pm at (0.232, 0.000, 0.236), Pm at (0.238, 0.500, 0.751), Sn at (0.500, 0.000, 0.000), Te at (0.500, 0.500, 0.500), Se at (0.000, 0.000, 0.500) and Se at (0.000, 0.500, 0.000).

The calculation puts the formation energy (no corrections) at -1476 meV per atom. The value obtained for the volume is 232.7 Å³ per cell.

***

The following is a GGA-PBE calculation of an optimized crystal structure of Pm6TlSn2Se3, from the Alexandria database.

It has space group C2/m (No. 12), with a = 19.369 Å, b = 4.320 Å, c = 8.824 Å, α = 90.00°, β = 108.51° and γ = 90.00°. The distinct sites, in fractional coordinates, are Pm at (0.007, 0.000, 0.236), Pm at (0.166, 0.500, 0.081), Pm at (0.172, 0.500, 0.571), Tl at (0.000, 0.500, 0.500), Sn at (0.162, 0.000, 0.820), Se at (0.000, 0.500, 0.000) and Se at (0.168, 0.000, 0.327).

The calculation puts the formation energy (no corrections) at -1209 meV per atom. The value obtained for the volume is 700.0 Å³ per cell.

***

The following is a GGA-PBE calculation of an optimized crystal structure of PmTmSnSe, from the Alexandria database.

It has space group P4/mmm (No. 123), with a = 4.312 Å, b = 4.312 Å, c = 6.008 Å, α = 90.00°, β = 90.00° and γ = 90.00°. The distinct sites, in fractional coordinates, are Pm at (0.000, 0.000, 0.000), Tm at (0.500, 0.500, 0.500), Sn at (0.500, 0.500, 0.000) and Se at (0.000, 0.000, 0.500).

The calculation puts the formation energy (no corrections) at -1202 meV per atom. The value obtained for the volume is 111.7 Å³ per cell.

***

The following is a GGA-PBE calculation of an optimized crystal structure of PmYSnSe, from the Alexandria database.

It has space group P4/mmm (No. 123), with a = 4.333 Å, b = 4.333 Å, c = 6.061 Å, α = 90.00°, β = 90.00° and γ = 90.00°. The distinct sites, in fractional coordinates, are Pm at (0.000, 0.000, 0.000), Y at (0.500, 0.500, 0.500), Sn at (0.500, 0.500, 0.000) and Se at (0.000, 0.000, 0.500).

The calculation puts the formation energy (no corrections) at -1266 meV per atom. The value obtained for the volume is 113.8 Å³ per cell.

***

The following is a GGA-PBE calculation of an optimized crystal structure of SrPmSe2, from the Alexandria database.

It has space group P6_3/mmc (No. 194), with a = 4.2353 Å, b = 4.2353 Å, c = 14.6036 Å, α = 90.00°, β = 90.00° and γ = 120.00°. The distinct sites, in fractional coordinates, are Sr at (0.3333, 0.6667, 0.2500), Pm at (0.0000, 0.0000, 0.0000) and Se at (0.3333, 0.6667, 0.6176).

The calculation puts the formation energy (no corrections) at -1889 meV per atom. The value obtained for the volume is 226.9 Å³ per cell. Its energy above the most stable polymorph in this dataset is 0.122 eV per formula unit.

***

The following is a GGA-PBE calculation of an optimized crystal structure of SrPm4Se5, from the Alexandria database.

It has space group C2/m (No. 12), with a = 14.129 Å, b = 4.215 Å, c = 10.398 Å, α = 90.00°, β = 119.58° and γ = 90.00°. The distinct sites, in fractional coordinates, are Sr at (0.000, 0.000, 0.000), Pm at (0.096, 0.500, 0.404), Pm at (0.196, 0.000, 0.787), Se at (0.000, 0.000, 0.500), Se at (0.107, 0.500, 0.901) and Se at (0.199, 0.000, 0.305).

The calculation puts the formation energy (no corrections) at -1868 meV per atom. The value obtained for the volume is 538.5 Å³ per cell. Its energy above the most stable polymorph in this dataset is 0.000 eV per formula unit.

***

The following is a GGA-PBE calculation of an optimized crystal structure of SrPm4Se5, from the Alexandria database.

It has space group I4/mmm (No. 139), with a = 4.234 Å, b = 4.234 Å, c = 30.024 Å, α = 90.00°, β = 90.00° and γ = 90.00°. The distinct sites, in fractional coordinates, are Sr at (0.000, 0.000, 0.000), Pm at (0.000, 0.000, 0.201), Pm at (0.000, 0.000, 0.398), Se at (0.000, 0.000, 0.102), Se at (0.000, 0.000, 0.300) and Se at (0.000, 0.000, 0.500).

The calculation puts the formation energy (no corrections) at -1860 meV per atom. The value obtained for the volume is 538.1 Å³ per cell. Its energy above the most stable polymorph in this dataset is 0.085 eV per formula unit.

***

The following is a GGA-PBE calculation of an optimized crystal structure of Sr2PmSe4, from the Alexandria database.

It has space group Cmcm (No. 63), with a = 4.242 Å, b = 14.946 Å, c = 13.663 Å, α = 90.00°, β = 90.00° and γ = 90.00°. The distinct sites, in fractional coordinates, are Sr at (0.000, 0.130, 0.069), Pm at (0.000, 0.387, 0.250), Se at (0.000, 0.017, 0.250), Se at (0.000, 0.223, 0.637) and Se at (0.000, 0.500, 0.000).

The calculation puts the formation energy (no corrections) at -1681 meV per atom. The value obtained for the volume is 866.4 Å³ per cell.

***

The following is a GGA-PBE calculation of an optimized crystal structure of SrPmSe2, from the Alexandria database.

It has space group C2/m (No. 12), with a = 7.389 Å, b = 4.265 Å, c = 7.573 Å, α = 90.00°, β = 108.90° and γ = 90.00°. The distinct sites, in fractional coordinates, are Sr at (0.000, 0.000, 0.000), Pm at (0.000, 0.500, 0.500) and Se at (0.246, 0.000, 0.739).

The calculation puts the formation energy (no corrections) at -1919 meV per atom. The value obtained for the volume is 225.8 Å³ per cell. Its energy above the most stable polymorph in this dataset is 0.000 eV per formula unit.